[1]
A geometry-optimized Hf6Tl2Tc structure. Source: Alexandria via LeMat-Bulk, functional PBE.

Cell lengths 3.3998, 14.1222, 8.1950 Å; angles 90.00, 90.00, 90.00 degrees
Space group Amm2 (No. 38)
Asymmetric unit:
1 Hf 0.0000 0.0000 0.0000
2 Hf 0.0000 0.1249 0.6142
3 Hf 0.5000 0.0000 0.3674
4 Hf 0.5000 0.1839 0.9284
5 Tl 0.0000 0.1685 0.2432
6 Tc 0.5000 0.0000 0.7468

Calculated values
offset from the most stable computed form	0	meV/atom
total magnetic moment	0.0	μB per formula unit
energy of formation from the pure elements	-0.69	eV/f.u.


[2]
A geometry-optimized Hf2TlTc structure. Source: Alexandria via LeMat-Bulk, functional PBE.

Cell lengths 7.7335, 7.7335, 5.7906 Å; angles 90.00, 90.00, 90.00 degrees
Space group I-42d (No. 122)
Asymmetric unit:
1 Hf 0.2010 0.7500 0.1250
2 Tl 0.0000 0.0000 0.5000
3 Tc 0.0000 0.0000 0.0000

Calculated values
total magnetic moment	0.0	μB per formula unit
energy of formation from the pure elements	1.47	eV/f.u.